The following is a PBE-GGA calculation of Nd6PdBr8 after structural relaxation, from the Alexandria database.

Summary:
E_form (uncorrected): -1.410 eV/atom
theoretical density: 5.29 g cm⁻³

Unit cell a=11.6290 b=11.6290 c=11.6290 alpha=36.80 beta=36.80 gamma=36.80
Last column: nearest neighbours and their distance in Å.
Positions (direct):
Nd 0.0534 0.3651 0.7403  1 Pd 2.87, 5 Br 3.00-3.11
Nd 0.2597 0.9467 0.6349  1 Pd 2.87, 5 Br 3.00-3.11
Nd 0.3651 0.7402 0.0534  1 Pd 2.87, 5 Br 3.00-3.11
Nd 0.6349 0.2597 0.9466  1 Pd 2.87, 5 Br 3.00-3.11
Nd 0.7403 0.0534 0.3651  1 Pd 2.87, 5 Br 3.00-3.11
Nd 0.9466 0.6349 0.2597  1 Pd 2.87, 5 Br 3.00-3.11
Pd 0.0000 0.0000 0.0000  6 Nd 2.87
Br 0.1079 0.7668 0.4500  3 Nd 3.00-3.11
Br 0.2332 0.5500 0.8921  3 Nd 3.00-3.11
Br 0.3332 0.3332 0.3332  6 Nd 3.06
Br 0.4500 0.1079 0.7668  3 Nd 3.00-3.11
Br 0.5500 0.8921 0.2332  3 Nd 3.00-3.11
Br 0.6668 0.6668 0.6668  6 Nd 3.06
Br 0.7668 0.4500 0.1079  3 Nd 3.00-3.11
Br 0.8921 0.2332 0.5500  3 Nd 3.00-3.11